1.
The following is a DFT calculation (PBEsol) of LiTaPt2N after structural relaxation.

abc: 4.9437 4.9437 3.9485
angles: 90.00 90.00 90.00
Last column: nearest neighbours and their distance in Å.
Space group P4/mmm (No. 123)
Asymmetric unit:
Li: 0.0000 0.0000 0.0000 [1 per cell]  8 Pt 3.16, 4 N 3.50
Ta: 0.5000 0.5000 0.5000 [1 per cell]  2 N 1.97
Pt: 0.0000 0.5000 0.5000 [2 per cell]  2 Ta 2.47
N: 0.5000 0.5000 0.0000 [1 per cell]  2 Ta 1.97

Values from the calculation:
Crystal system = tetragonal
Formation energy from raw total energies = 0.5171 eV/atom

=====

2.
The following is a DFT calculation (PBEsol) of CaB3H5O8 after structural relaxation.

abc: 6.0407 11.0819 8.6544
angles: 90.00 109.60 90.00
Last column: nearest neighbours and their distance in Å.
Space group P2_1 (No. 4)
Asymmetric unit:
Ca: 0.1371 0.0000 0.3773 [2 per cell]  7 O 2.34-2.50
Ca: 0.3469 0.4147 0.1106 [2 per cell]  7 O 2.35-2.51
B: 0.0362 0.6534 0.0278 [2 per cell]  4 O 1.46-1.50
B: 0.1193 0.0383 0.7799 [2 per cell]  4 O 1.44-1.51
B: 0.2378 0.4166 0.4170 [2 per cell]  3 O 1.36-1.38
B: 0.2544 0.9850 0.0722 [2 per cell]  3 O 1.37-1.39
B: 0.3847 0.3718 0.7155 [2 per cell]  4 O 1.45-1.53
B: 0.4632 0.7545 0.4790 [2 per cell]  4 O 1.48-1.49
H: 0.0160 0.2644 0.1685 [2 per cell]  1 O 0.99
H: 0.0717 0.7316 0.5506 [2 per cell]  1 O 1.01
H: 0.1200 0.7303 0.3235 [2 per cell]  1 O 1.01
H: 0.1929 0.2784 0.8333 [2 per cell]  1 O 1.01
H: 0.2044 0.7065 0.7342 [2 per cell]  1 O 1.02
H: 0.3021 0.1326 0.6575 [2 per cell]  1 O 1.01
H: 0.3830 0.5907 0.5644 [2 per cell]  1 O 0.98
H: 0.3835 0.6842 0.1807 [2 per cell]  1 O 1.01
H: 0.4172 0.6780 0.9546 [2 per cell]  1 O 1.03
H: 0.4608 0.1693 0.1930 [2 per cell]  1 O 0.99
O: 0.0380 0.2665 0.0603 [2 per cell]  1 H 0.99
O: 0.0415 0.6961 0.6491 [2 per cell]  2 H 1.01-1.02
O: 0.0518 0.1553 0.8329 [2 per cell]  2 B 1.47-1.48, 2 H 1.61-1.63
O: 0.0594 0.0473 0.0814 [2 per cell]  2 B 1.39-1.50
O: 0.0921 0.4621 0.2725 [2 per cell]  2 B 1.36-1.47
O: 0.2085 0.7808 0.4223 [2 per cell]  1 H 1.01
O: 0.2197 0.4399 0.5688 [2 per cell]  2 B 1.38-1.53
O: 0.2241 0.0511 0.6538 [2 per cell]  1 H 1.01
O: 0.2646 0.3612 0.8340 [2 per cell]  1 H 1.01
O: 0.2954 0.6337 0.0814 [2 per cell]  1 H 1.01
O: 0.2964 0.9783 0.9268 [2 per cell]  2 B 1.37-1.51
O: 0.3980 0.9434 0.2205 [2 per cell]  2 B 1.37-1.47
O: 0.4236 0.3510 0.4023 [2 per cell]  2 B 1.38-1.48
O: 0.4422 0.2552 0.6588 [2 per cell]  2 B 1.47-1.49, 2 H 1.60-1.64
O: 0.4549 0.7212 0.8614 [2 per cell]  2 H 0.99-1.03
O: 0.4787 0.1369 0.4375 [2 per cell]  1 H 0.98

Values from the calculation:
Crystal system = monoclinic
Total DFT energy (no corrections) = -6.7944 eV per atom

=====

3.
The following is a DFT calculation (PBEsol) of Si4WO10 after structural relaxation.

abc: 7.5831 7.5831 16.2160
angles: 90.00 90.00 90.00
Last column: nearest neighbours and their distance in Å.
Space group P4/ncc (No. 130, origin choice 2)
Asymmetric unit:
Si: 0.0321 0.0587 0.1551 [16 per cell]  4 O 1.61-1.63
W: 0.2500 0.2500 0.4156 [4 per cell]  4 O 1.87
O: 0.0017 0.2339 0.6363 [16 per cell]  2 Si 1.62
O: 0.0172 0.5172 0.2500 [8 per cell]  2 Si 1.61
O: 0.0569 0.0984 0.4038 [16 per cell]  1 Si 1.63

Values from the calculation:
Crystal system = tetragonal
Formation energy from raw total energies = -2.4562 eV/atom